Material: CeInH8Ir2
Method: DFT, GGA-PBE
State: optimized geometry

Total magnetic moment ... 0.8 μB per formula unit
Total energy ... -53.62 eV/f.u.
DOS(E_F) ... 0.584 states/eV/atom

Unit cell a=4.865 b=4.865 c=6.592 alpha=68.35 beta=68.35 gamma=60.00
Site moments in Bohr magnetons follow the coordinates.
Sites, in units of the cell vectors:
Ce 0.500 0.500 0.500  0.68
In 0.000 0.000 0.000  0.00
H 0.179 0.179 0.464  0.00
H 0.481 0.462 0.170  0.00
H 0.821 0.821 0.536  0.00
H 0.887 0.481 0.170  0.00
H 0.113 0.519 0.830  0.00
H 0.462 0.887 0.170  0.00
H 0.538 0.113 0.830  0.00
H 0.519 0.538 0.830  0.00
Ir 0.269 0.269 0.193  0.03
Ir 0.731 0.731 0.807  0.03